Density functional theory data (PBE) for a relaxed structure of Tm6Mg2Sc.

Unit cell a=11.1330 b=3.3845 c=13.7162 alpha=90.00 beta=94.53 gamma=90.00
Last column: nearest neighbours and their distance in Å.
Space group C2/m (No. 12)
Inequivalent atoms, fractional coordinates:
Tm: 0.0588 0.0000 0.2173 (multiplicity 4)  3 Mg 3.36-3.38, 7 Tm 3.37-3.48, 2 Sc 3.44
Tm: 0.1362 0.5000 0.4347 (multiplicity 4)  4 Mg 3.30-3.49, 7 Tm 3.38-3.64
Tm: 0.2215 0.0000 0.8954 (multiplicity 4)  3 Sc 3.31-3.40, 7 Tm 3.35-3.44, 2 Mg 3.48
Mg: 0.1567 0.5000 0.6759 (multiplicity 4)  9 Tm 3.30-3.49, 2 Mg 3.38
Sc: 0.0000 0.5000 0.0000 (multiplicity 2)  10 Tm 3.31-3.44, 2 Sc 3.38

Calculated values
**V**: 515 Å³/cell
**Final energy**: -71.2 eV for the cell shown
**Formation energy**: 7.95 kJ per mole of atoms

***

Density functional theory data (PBE) for a relaxed structure of Er4ThTl.

Unit cell a=5.2093 b=5.2093 c=7.7154 alpha=90.00 beta=90.00 gamma=90.00
Last column: nearest neighbours and their distance in Å.
Space group P4/mmm (No. 123)
Inequivalent atoms, fractional coordinates:
Er: 0.0000 0.5000 0.2394 (multiplicity 4)  2 Tl 3.19, 2 Th 3.29
Th: 0.0000 0.0000 0.5000 (multiplicity 1)  8 Er 3.29
Tl: 0.5000 0.5000 0.0000 (multiplicity 1)  8 Er 3.19

Calculated values
**V**: 209 Å³/cell
**Final energy**: -25.4 eV for the cell shown
**Formation energy**: 41.88 kJ per mole of atoms

***

Density functional theory data (PBE) for a relaxed structure of KPtO2F.

Unit cell a=3.7700 b=3.7700 c=6.2921 alpha=90.00 beta=90.00 gamma=90.00
Last column: nearest neighbours and their distance in Å.
Space group P4/mmm (No. 123)
Inequivalent atoms, fractional coordinates:
K: 0.0000 0.0000 0.0000 (multiplicity 1)  4 F 2.67
Pt: 0.5000 0.5000 0.5000 (multiplicity 1)  4 O 1.89
O: 0.0000 0.5000 0.5000 (multiplicity 2)  2 Pt 1.89
F: 0.5000 0.5000 0.0000 (multiplicity 1)  4 K 2.67

Calculated values
**V**: 89 Å³/cell
**Uncorrected formation energy**: -25.068 kcal/mol of atoms
**Final energy**: -24.4 eV for the cell shown